## Er6Tl3Se2S (GGA-PBE)

Data for a geometry-optimized Er6Tl3Se2S structure.

Summary:
calculated volume = 25.538 A^3/atom
calculated density = 9.79 g/cm3
calculated total energy = -4.852 eV/atom
ΔE_f (raw) = -1055 meV per atom
symmetry = C2/m (12)

Cell lengths 6.671, 6.671, 8.244 Å; angles 97.69, 97.69, 119.91 degrees
Atoms (fractional coordinates):
Er1 0.068 0.393 0.211
Er2 0.253 0.253 0.785
Er3 0.393 0.068 0.211
Er4 0.607 0.932 0.789
Er5 0.747 0.747 0.215
Er6 0.932 0.607 0.789
Tl1 0.173 0.827 0.500
Tl2 0.500 0.500 0.500
Tl3 0.827 0.173 0.500
Se1 0.335 0.665 0.000
Se2 0.665 0.335 0.000
S1 0.000 0.000 0.000